[1]
This record from Alexandria via LeMat-Bulk describes a geometry-optimized TaGeTe2 structure. The functional is PBE.

```
TaGeTe2
1.0
6.7819 0.0000 0.0000
0.0000 6.7819 0.0000
0.0000 0.0000 11.6192
Ta Ge Te
4 4 8
Cartesian
0.0000 0.0000 0.0000 Ta
0.0000 3.3910 2.9048 Ta
3.3910 0.0000 8.7144 Ta
3.3910 3.3910 5.8096 Ta
0.0000 0.0000 5.8096 Ge
0.0000 3.3910 8.7144 Ge
3.3910 0.0000 2.9048 Ge
3.3910 3.3910 0.0000 Ge
1.5323 1.6955 1.4524 Te
1.6955 4.9232 4.3572 Te
1.6955 5.2497 10.1668 Te
1.8587 1.6955 7.2620 Te
4.9232 5.0864 7.2620 Te
5.0864 1.5323 10.1668 Te
5.0864 1.8587 4.3572 Te
5.2497 5.0864 1.4524 Te
```

Properties
Formation energy from raw total energies   553 meV/atom
Density   6.32 g/cm3
D(E_F)   0.9997 states/eV per atom
Total magnetic moment   1.59 μB per formula unit

[2]
This record from Alexandria via LeMat-Bulk describes a geometry-optimized ErTcTe structure. The functional is PBE.

```
ErTcTe
1.0
5.4799 0.0000 0.0000
0.0000 3.9518 0.0000
-2.5248 0.0000 6.7273
Er Tc Te
2 2 2
Cartesian
0.1013 0.9880 1.4177 Er
2.8538 2.9639 5.3095 Er
-0.0285 0.9880 6.1235 Tc
2.9836 2.9639 0.6037 Tc
0.1231 2.9639 4.1023 Te
2.8320 0.9880 2.6250 Te
```

Properties
Formation energy from raw total energies   -357 meV/atom
Density   8.96 g/cm3
D(E_F)   0.7019 states/eV per atom
Total magnetic moment   0.00 μB per formula unit

[3]
This record from Alexandria via LeMat-Bulk describes a geometry-optimized Dy3GeSO structure. The functional is PBE.

```
Dy3GeSO
1.0
8.1577 0.0000 0.0000
0.0000 3.9423 0.0000
-1.6294 0.0000 8.4423
Dy Ge S O
6 2 2 2
Cartesian
0.2118 0.9856 2.8063 Dy
1.0297 0.9856 8.3565 Dy
2.2072 2.9567 5.4337 Dy
4.3211 0.9856 3.0086 Dy
5.4985 2.9567 0.0858 Dy
6.3165 2.9567 5.6360 Dy
2.2303 2.9567 2.4163 Ge
4.2980 0.9856 6.0260 Ge
0.1599 0.9856 5.5658 S
6.3684 2.9567 2.8765 S
1.8075 2.9567 7.6580 O
4.7208 0.9856 0.7843 O
```

Properties
Formation energy from raw total energies   -1939 meV/atom
Density   7.44 g/cm3
D(E_F)   0.3378 states/eV per atom
Total magnetic moment   0.00 μB per formula unit

[4]
This record from Alexandria via LeMat-Bulk describes a geometry-optimized CuNi6B2 structure. The functional is PBE.

```
CuNi6B2
1.0
-3.3446 3.4595 3.7853
3.3446 -3.4595 3.7853
3.3446 3.4595 -3.7853
Cu Ni B
2 12 4
Cartesian
0.0000 0.0000 0.0000 Cu
0.0000 0.0000 3.7853 Cu
3.3446 1.9993 -1.9458 Ni
1.9746 1.3219 0.0000 Ni
4.7145 1.3219 0.0000 Ni
1.3003 3.4595 -1.3178 Ni
2.0442 0.0000 2.4675 Ni
0.0000 1.4601 1.8395 Ni
3.3446 1.9993 1.9458 Ni
1.3003 3.4595 1.3178 Ni
2.0442 0.0000 5.1031 Ni
-1.3700 2.1375 3.7853 Ni
1.3700 2.1375 3.7853 Ni
0.0000 1.4601 5.7311 Ni
3.3446 0.0000 0.9199 B
0.0000 2.3207 0.0000 B
0.0000 4.5982 0.0000 B
0.0000 3.4595 2.8654 B
```

Properties
Density   8.29 g/cm3
D(E_F)   0.6325 states/eV per atom
Total magnetic moment   0.00 μB per formula unit
Formation energy from the elements   -15.7 kJ per mole of atoms

[5]
This record from Alexandria via LeMat-Bulk describes a geometry-optimized Ni5Pt8Rh structure. The functional is PBE.

```
Ni5Pt8Rh
1.0
-3.7182 3.7182 3.7512
3.7182 -3.7182 3.7512
3.7182 3.7182 -3.7512
Ni Pt Rh
5 8 1
Cartesian
0.0000 0.0000 0.0000 Ni
1.5455 -0.8821 3.0879 Ni
2.8361 2.1728 0.6633 Ni
2.1728 4.6003 -0.6633 Ni
0.8821 1.5455 4.4145 Ni
2.4751 -0.5107 0.6023 Pt
2.9542 2.4536 -1.8208 Pt
4.9613 0.5107 0.6023 Pt
4.2290 -1.2431 3.1489 Pt
0.7640 1.2646 1.9304 Pt
3.2075 1.2431 3.1489 Pt
1.2646 -0.7640 5.5719 Pt
2.4536 4.4822 1.8208 Pt
0.0000 3.7182 1.8756 Rh
```

Properties
Density   15.67 g/cm3
D(E_F)   1.6802 states/eV per atom
Total magnetic moment   6.27 μB per formula unit
Formation energy from the elements   17.0 kJ per mole of atoms

[6]
This record from Alexandria via LeMat-Bulk describes a geometry-optimized K2AsPb structure. The functional is PBE.

```
K2AsPb
1.0
3.6077 0.0000 0.0000
-1.8038 3.1244 0.0000
0.0000 0.0000 34.5486
K As Pb
6 3 3
Cartesian
0.0000 0.0000 8.2814 K
0.0000 0.0000 26.2672 K
0.0000 2.0829 14.7510 K
0.0000 2.0829 31.3138 K
1.8038 1.0414 3.2348 K
1.8038 1.0414 19.7976 K
0.0000 0.0000 17.2743 As
0.0000 2.0829 5.7581 As
1.8038 1.0414 28.7905 As
0.0000 0.0000 0.0000 Pb
0.0000 2.0829 23.0324 Pb
1.8038 1.0414 11.5162 Pb
```

Properties
Density   4.61 g/cm3
D(E_F)   0.6999 states/eV per atom
Total magnetic moment   0.20 μB per formula unit
Formation energy from the elements   4.2 kJ per mole of atoms
E above lowest polymorph   358 meV per atom

[7]
This record from Alexandria via LeMat-Bulk describes a geometry-optimized Ba2Tl4ZnCd3 structure. The functional is PBE.

```
Ba2Tl4ZnCd3
1.0
5.0203 0.0000 0.0000
0.0000 5.0203 0.0000
0.0000 0.0000 12.1811
Ba Tl Zn Cd
2 4 1 3
Cartesian
0.0000 2.5102 2.9361 Ba
2.5102 0.0000 9.2450 Ba
0.0000 0.0000 6.0906 Tl
0.0000 2.5102 10.6813 Tl
2.5102 0.0000 1.4998 Tl
2.5102 2.5102 6.0906 Tl
2.5102 2.5102 0.0000 Zn
0.0000 0.0000 0.0000 Cd
0.0000 2.5102 7.7900 Cd
2.5102 0.0000 4.3911 Cd
```

Properties
Density   8.09 g/cm3
D(E_F)   0.4308 states/eV per atom
Total magnetic moment   0.00 μB per formula unit
Formation energy from the elements   -22.1 kJ per mole of atoms

[8]
This record from Alexandria via LeMat-Bulk describes a geometry-optimized OsRu2Cl structure. The functional is PBE.

```
OsRu2Cl
1.0
2.7502 0.0000 0.0000
0.0000 4.9471 0.0000
0.0000 0.0000 8.8262
Os Ru Cl
2 4 2
Cartesian
0.0000 0.0000 0.0000 Os
1.3751 2.4736 0.0000 Os
0.0000 2.4736 2.2222 Ru
0.0000 2.4736 6.6040 Ru
1.3751 0.0000 2.2222 Ru
1.3751 0.0000 6.6040 Ru
0.0000 0.0000 4.4131 Cl
1.3751 2.4736 4.4131 Cl
```

Properties
Formation energy from raw total energies   726 meV/atom
Density   11.83 g/cm3
D(E_F)   1.5299 states/eV per atom
Total magnetic moment   0.02 μB per formula unit
E above lowest polymorph   323 meV per atom

Table of calculated volume (Å³/cell), in record order: 534.4, 145.7, 271.5, 175.2, 207.4, 389.4, 307.0, 120.1